Computed, not measured: a geometry-optimized K2SrV2S6 structure at the PBE-GGA level of DFT.

a b c (Å): 8.697 8.697 8.697
angles (deg): 49.60 49.60 49.60
Atoms (fractional coordinates):
K (0.212, 0.212, 0.212)
K (0.788, 0.788, 0.788)
Sr (0.000, 0.000, 0.000)
V (0.442, 0.442, 0.442)
V (0.558, 0.558, 0.558)
S (0.248, 0.742, 0.742)
S (0.258, 0.258, 0.752)
S (0.258, 0.752, 0.258)
S (0.742, 0.248, 0.742)
S (0.742, 0.742, 0.248)
S (0.752, 0.258, 0.258)

Summary:
Total magnetization   0.00 μB/f.u.
Space group   R-3m, No. 166
Crystal system   trigonal
Energy   -58.53 eV/f.u.

Computed, not measured: a geometry-optimized DyAgPd6 structure at the PBE-GGA level of DFT.

a b c (Å): 5.438 5.438 5.438
angles (deg): 84.75 84.75 84.75
Atoms (fractional coordinates):
Dy (0.000, 0.000, 0.000)
Ag (0.500, 0.500, 0.500)
Pd (0.161, 0.161, 0.532)
Pd (0.161, 0.532, 0.161)
Pd (0.468, 0.839, 0.839)
Pd (0.532, 0.161, 0.161)
Pd (0.839, 0.468, 0.839)
Pd (0.839, 0.839, 0.468)

Summary:
Total magnetization   0.00 μB/f.u.
Space group   R-3m, No. 166
Crystal system   trigonal
Energy   -38.28 eV/f.u.
Energy relative to the elements   0.33 eV per formula unit

Computed, not measured: a geometry-optimized PmLuMg4 structure at the PBE-GGA level of DFT.

a b c (Å): 6.041 6.041 6.041
angles (deg): 60.00 60.00 60.00
Atoms (fractional coordinates):
Pm (0.000, 0.000, 0.000)
Lu (0.750, 0.750, 0.750)
Mg (0.375, 0.375, 0.375)
Mg (0.375, 0.375, 0.875)
Mg (0.375, 0.875, 0.375)
Mg (0.875, 0.375, 0.375)

Summary:
Total magnetization   0.00 μB/f.u.
Space group   F-43m, No. 216
Crystal system   cubic
Energy   -16.03 eV/f.u.
Energy relative to the elements   -0.38 eV per formula unit

Computed, not measured: a geometry-optimized PuI2Br structure at the PBE-GGA level of DFT.

a b c (Å): 7.161 7.161 7.161
angles (deg): 147.52 71.94 117.80
Atoms (fractional coordinates):
Pu (0.000, 0.000, 0.000)
I (0.006, 0.679, 0.328)
I (0.351, 0.679, 0.672)
Br (0.718, 0.218, 0.500)

Summary:
Total magnetization   5.00 μB/f.u.
Space group   Imm2, No. 44
Crystal system   orthorhombic
Energy   -23.77 eV/f.u.

Computed, not measured: a geometry-optimized Pu2AlFe3 structure at the PBE-GGA level of DFT.

a b c (Å): 4.891 4.891 5.573
angles (deg): 121.03 121.03 66.45
Atoms (fractional coordinates):
Pu (0.109, 0.109, 0.356)
Pu (0.891, 0.891, 0.644)
Al (0.500, 0.500, 0.000)
Fe (0.000, 0.500, 0.000)
Fe (0.500, 0.000, 0.000)
Fe (0.500, 0.500, 0.500)

Summary:
Total magnetization   5.64 μB/f.u.
Space group   C2/m, No. 12
Crystal system   monoclinic
Energy   -58.67 eV/f.u.
Energy relative to the elements   -0.88 eV per formula unit

Computed, not measured: a geometry-optimized Ac2Dy5Y5 structure at the PBE-GGA level of DFT.

a b c (Å): 8.143 8.143 11.458
angles (deg): 115.19 115.19 36.73
Atoms (fractional coordinates):
Ac (0.082, 0.082, 0.250)
Ac (0.918, 0.918, 0.750)
Dy (0.334, 0.334, 0.498)
Dy (0.413, 0.413, 0.249)
Dy (0.500, 0.500, 0.000)
Dy (0.587, 0.587, 0.751)
Dy (0.666, 0.666, 0.502)
Y (0.000, 0.000, 0.500)
Y (0.170, 0.170, 0.000)
Y (0.246, 0.246, 0.748)
Y (0.754, 0.754, 0.252)
Y (0.830, 0.830, 0.000)

Summary:
Total magnetization   0.00 μB/f.u.
Space group   C2/m, No. 12
Crystal system   monoclinic
Energy   -62.99 eV/f.u.
Energy relative to the elements   0.56 eV per formula unit

Computed, not measured: a geometry-optimized Nd8Ag2Ru structure at the PBE-GGA level of DFT.

a b c (Å): 9.348 9.348 7.101
angles (deg): 105.48 105.48 33.25
Atoms (fractional coordinates):
Nd (0.024, 0.024, 0.291)
Nd (0.201, 0.201, 0.811)
Nd (0.342, 0.342, 0.527)
Nd (0.411, 0.411, 0.063)
Nd (0.589, 0.589, 0.937)
Nd (0.658, 0.658, 0.473)
Nd (0.799, 0.799, 0.189)
Nd (0.976, 0.976, 0.709)
Ag (0.184, 0.184, 0.220)
Ag (0.816, 0.816, 0.780)
Ru (0.500, 0.500, 0.500)

Summary:
Total magnetization   0.00 μB/f.u.
Space group   C2/m, No. 12
Crystal system   monoclinic
Energy   -54.36 eV/f.u.
Energy relative to the elements   -1.23 eV per formula unit

Computed, not measured: a geometry-optimized CsLaAl2Te structure at the PBE-GGA level of DFT.

a b c (Å): 5.728 5.728 5.931
angles (deg): 90.00 90.00 90.00
Atoms (fractional coordinates):
Cs (0.000, 0.000, 0.000)
La (0.000, 0.000, 0.500)
Al (0.000, 0.500, 0.000)
Al (0.500, 0.000, 0.000)
Te (0.500, 0.500, 0.500)

Summary:
Total magnetization   0.00 μB/f.u.
Space group   P4/mmm, No. 123
Crystal system   tetragonal
Energy   -10.26 eV/f.u.

Computed, not measured: a geometry-optimized Pr12Tl3Ga structure at the PBE-GGA level of DFT.

a b c (Å): 4.998 4.998 20.012
angles (deg): 90.00 90.00 90.00
Atoms (fractional coordinates):
Pr (0.000, 0.000, 0.000)
Pr (0.000, 0.000, 0.246)
Pr (0.000, 0.000, 0.500)
Pr (0.000, 0.000, 0.754)
Pr (0.000, 0.500, 0.119)
Pr (0.000, 0.500, 0.373)
Pr (0.000, 0.500, 0.627)
Pr (0.000, 0.500, 0.881)
Pr (0.500, 0.000, 0.119)
Pr (0.500, 0.000, 0.373)
Pr (0.500, 0.000, 0.627)
Pr (0.500, 0.000, 0.881)
Tl (0.500, 0.500, 0.247)
Tl (0.500, 0.500, 0.500)
Tl (0.500, 0.500, 0.753)
Ga (0.500, 0.500, 0.000)

Summary:
Total magnetization   0.00 μB/f.u.
Space group   P4/mmm, No. 123
Crystal system   tetragonal
Energy   -70.95 eV/f.u.
Energy relative to the elements   -3.47 eV per formula unit

Computed, not measured: a geometry-optimized La2Hg4Pb structure at the PBE-GGA level of DFT.

a b c (Å): 8.916 8.916 8.916
angles (deg): 142.85 142.85 53.55
Atoms (fractional coordinates):
La (0.112, 0.112, 0.000)
La (0.888, 0.888, 0.000)
Hg (0.000, 0.500, 0.500)
Hg (0.308, 0.308, 0.000)
Hg (0.500, 0.000, 0.500)
Hg (0.692, 0.692, 0.000)
Pb (0.500, 0.500, 0.000)

Summary:
Total magnetization   0.00 μB/f.u.
Space group   I4/mmm, No. 139
Crystal system   tetragonal
Energy   -14.70 eV/f.u.
Energy relative to the elements   0.07 eV per formula unit

Computed, not measured: a geometry-optimized Dy8Sb3Te4 structure at the PBE-GGA level of DFT.

a b c (Å): 8.637 8.637 8.621
angles (deg): 119.85 119.85 90.09
Atoms (fractional coordinates):
Dy (0.239, 0.239, 0.995)
Dy (0.243, 0.243, 0.492)
Dy (0.244, 0.756, 0.000)
Dy (0.247, 0.753, 0.500)
Dy (0.753, 0.247, 0.500)
Dy (0.756, 0.244, 0.000)
Dy (0.757, 0.757, 0.508)
Dy (0.761, 0.761, 0.005)
Sb (0.000, 0.000, 0.500)
Sb (0.000, 0.500, 0.000)
Sb (0.500, 0.000, 0.000)
Te (0.000, 0.500, 0.500)
Te (0.500, 0.000, 0.500)
Te (0.500, 0.500, 0.000)
Te (0.500, 0.500, 0.500)

Summary:
Total magnetization   0.00 μB/f.u.
Space group   C2/m, No. 12
Crystal system   monoclinic
Energy   -78.42 eV/f.u.

Computed, not measured: a geometry-optimized Ba3HfSi structure at the PBE-GGA level of DFT.

a b c (Å): 6.306 6.306 6.306
angles (deg): 90.00 90.00 90.00
Atoms (fractional coordinates):
Ba (0.000, 0.000, 0.500)
Ba (0.000, 0.500, 0.000)
Ba (0.500, 0.000, 0.000)
Hf (0.500, 0.500, 0.500)
Si (0.000, 0.000, 0.000)

Summary:
Total magnetization   4.08 μB/f.u.
Space group   Pm-3m, No. 221
Crystal system   cubic
Energy   -17.49 eV/f.u.